Arrangement w

NaYTlHg | PBE-GGA | relaxed

Summary:
Theoretical density = 8.4 g/cm³
Fermi-level density of states = 0.650 states/eV/atom
Calculated volume = 103 Å³/f.u.

a = 5.2546 Å, b = 5.2546 Å, c = 5.2546 Å
α = 60.00°, β = 60.00°, γ = 60.00°
Atoms (fractional coordinates):
Y: 0.7500 0.7500 0.7500
Na: 0.2500 0.2500 0.2500
Tl: 0.0000 0.0000 0.0000
Hg: 0.5000 0.5000 0.5000

Arrangement x

NaYTlHg | PBE-GGA | relaxed

Summary:
Theoretical density = 8.1 g/cm³
Fermi-level density of states = 0.561 states/eV/atom
Calculated volume = 106 Å³/f.u.

a = 3.7482 Å, b = 3.7482 Å, c = 7.5661 Å
α = 90.00°, β = 90.00°, γ = 90.00°
Atoms (fractional coordinates):
Na: 0.0000 0.0000 0.8501
Y: 0.0000 0.0000 0.3688
Tl: 0.5000 0.5000 0.1079
Hg: 0.5000 0.5000 0.6011

Going by the computed energies, the most stable comes first: arrangement w, arrangement x.

Arrangement w

NaZrHgW2 | PBE-GGA | relaxed

Summary:
Theoretical density = 8.9 g/cm³
Fermi-level density of states = 1.010 states/eV/atom
Calculated volume = 127 Å³/f.u.

a = 4.8644 Å, b = 5.3765 Å, c = 4.8644 Å
α = 90.00°, β = 90.00°, γ = 90.00°
Last column: magnetic moment on the atom in μB.
Atoms (fractional coordinates):
Zr: 0.0000 0.0000 0.0000  -0.04
Hg: 0.5000 0.5000 0.5000  0.00
W: 0.0000 0.0000 0.5000  0.28
W: 0.5000 0.0000 0.0000  0.45
Na: 0.0000 0.5000 0.0000  -0.01

Arrangement x

NaZrHgW2 | PBE-GGA | relaxed

Summary:
Theoretical density = 9.5 g/cm³
Fermi-level density of states = 1.562 states/eV/atom
Calculated volume = 120 Å³/f.u.

a = 5.0591 Å, b = 4.6815 Å, c = 5.0591 Å
α = 90.00°, β = 90.00°, γ = 90.00°
Atoms (fractional coordinates):
Zr: 0.5000 0.5000 0.5000
Hg: 0.0000 0.0000 0.0000
W: 0.0000 0.0000 0.5000
W: 0.5000 0.0000 0.0000
Na: 0.0000 0.5000 0.0000

Going by the computed energies, the most stable comes first: arrangement x, arrangement w.

Arrangement w

NaYHg4 | PBE-GGA | relaxed

Summary:
Theoretical density = 10.0 g/cm³
Fermi-level density of states = 0.576 states/eV/atom
Calculated volume = 151 Å³/f.u.

a = 5.9797 Å, b = 5.9797 Å, c = 5.9797 Å
α = 60.00°, β = 60.00°, γ = 60.00°
Atoms (fractional coordinates):
Y: 0.0000 0.0000 0.0000
Na: 0.2500 0.2500 0.2500
Hg: 0.6250 0.6250 0.1249
Hg: 0.6250 0.1249 0.6250
Hg: 0.6250 0.6250 0.6250
Hg: 0.1249 0.6250 0.6250

Arrangement x

NaYHg4 | PBE-GGA | relaxed

Summary:
Theoretical density = 10.2 g/cm³
Fermi-level density of states = 0.506 states/eV/atom
Calculated volume = 149 Å³/f.u.

a = 6.0513 Å, b = 6.0508 Å, c = 4.9958 Å
α = 65.54°, β = 65.55°, γ = 89.17°
Atoms (fractional coordinates):
Na: 0.0010 0.9976 0.4981
Y: 0.5017 0.4970 0.9982
Hg: 0.5695 0.9028 0.2613
Hg: 0.4324 0.0912 0.7358
Hg: 0.0958 0.4291 0.7349
Hg: 0.9074 0.5661 0.2605

Arrangement y

NaYHg4 | PBE-GGA | relaxed

Summary:
Theoretical density = 10.3 g/cm³
Fermi-level density of states = 0.317 states/eV/atom
Calculated volume = 148 Å³/f.u.

a = 3.8637 Å, b = 5.6009 Å, c = 7.8621 Å
α = 100.78°, β = 75.78°, γ = 69.82°
Atoms (fractional coordinates):
Na: 0.0000 0.0000 0.0000
Y: 0.5000 0.5000 0.5000
Hg: 0.8360 0.4940 0.8339
Hg: 0.3316 0.0033 0.3335
Hg: 0.1640 0.5060 0.1661
Hg: 0.6684 0.9967 0.6665

Going by the computed energies, the most stable comes first: arrangement y, arrangement x, arrangement w.

Arrangement w

NaYHg3 | PBE-GGA | relaxed

Summary:
Theoretical density = 8.5 g/cm³
Fermi-level density of states = 0.912 states/eV/atom
Calculated volume = 139 Å³/f.u.

a = 5.1808 Å, b = 5.1808 Å, c = 5.1808 Å
α = 90.00°, β = 90.00°, γ = 90.00°
Atoms (fractional coordinates):
Y: 0.5000 0.5000 0.5000
Na: 0.0000 0.0000 0.0000
Hg: 0.0000 0.5000 0.0000
Hg: 0.0000 0.0000 0.5000
Hg: 0.5000 0.0000 0.0000

Arrangement x

NaYHg3 | PBE-GGA | relaxed

Summary:
Theoretical density = 5.9 g/cm³
Fermi-level density of states = 0.633 states/eV/atom
Calculated volume = 201 Å³/f.u.

a = 5.8580 Å, b = 5.8580 Å, c = 5.8580 Å
α = 90.00°, β = 90.00°, γ = 90.00°
Atoms (fractional coordinates):
Y: 0.0000 0.0000 0.0000
Na: 0.5000 0.5000 0.5000
Hg: 0.0000 0.5000 0.0000
Hg: 0.0000 0.0000 0.5000
Hg: 0.5000 0.0000 0.0000

Going by the computed energies, the most stable comes first: arrangement x, arrangement w.